Density functional theory data (PBE with a Hubbard U) for a relaxed structure of Mo3HF.

Lattice parameters (Å, degrees): 4.055 4.055 4.055 90.00 90.00 90.00
Positions (direct):
Mo1 0.000 0.000 0.500
Mo2 0.000 0.500 0.000
Mo3 0.500 0.000 0.000
F1 0.500 0.500 0.500
H1 0.000 0.000 0.000

Output
The calculation puts the offset from the most stable computed form at 0 meV/atom. Its space group is Pm-3m, No. 221. The value obtained for the density of states at the Fermi level is 0.4568 states/eV per atom.